w | Compound: FeTe2AuN
Source: Alexandria
Functional: GGA-PBE
Structure: relaxed

Unit cell a=5.2999 b=5.2999 c=3.3863 alpha=90.00 beta=90.00 gamma=90.00
Fractional coordinates of all 5 atoms:
N  0.0000  0.0000  0.5000
Te  0.0000  0.5000  0.0000
Fe  0.0000  0.0000  0.0000
Te  0.5000  0.0000  0.0000
Au  0.5000  0.5000  0.5000

Values from the calculation:
density of states at the Fermi level	2.1	states/eV/f.u.
V	19.02	A^3/atom

---

x | Compound: FeTe2AuN
Source: Alexandria
Functional: GGA-PBE
Structure: relaxed

Unit cell a=5.6840 b=5.6840 c=3.7445 alpha=90.00 beta=90.00 gamma=90.00
Fractional coordinates of all 5 atoms:
Te  0.5000  0.0000  0.0000
N  0.0000  0.0000  0.5000
Au  0.0000  0.0000  0.0000
Fe  0.5000  0.5000  0.5000
Te  0.0000  0.5000  0.0000

Values from the calculation:
density of states at the Fermi level	8.2	states/eV/f.u.
V	24.20	A^3/atom

---

Quick one: least stable of them? x

---

w | Compound: FeTeAuN2
Source: Alexandria
Functional: GGA-PBE
Structure: relaxed

Unit cell a=3.7247 b=3.7247 c=5.6793 alpha=90.00 beta=90.00 gamma=90.00
Fractional coordinates of all 5 atoms:
Au  0.5000  0.5000  0.5000
Te  0.0000  0.0000  0.5000
N  0.5000  0.0000  0.0000
N  0.0000  0.5000  0.0000
Fe  0.0000  0.0000  0.0000

Values from the calculation:
density of states at the Fermi level	2.5	states/eV/f.u.
V	15.76	A^3/atom

---

x | Compound: FeTeAuN2
Source: Alexandria
Functional: GGA-PBE
Structure: relaxed

Unit cell a=3.9178 b=3.9178 c=7.9836 alpha=90.00 beta=90.00 gamma=90.00
Fractional coordinates of all 5 atoms:
N  0.5000  0.0000  0.0000
N  0.0000  0.5000  0.0000
Te  0.0000  0.0000  0.5000
Au  0.0000  0.0000  0.0000
Fe  0.5000  0.5000  0.5000

Values from the calculation:
density of states at the Fermi level	5.2	states/eV/f.u.
V	24.51	A^3/atom

---

Quick one: least stable of them? x

---

w | Compound: NaFeAu2
Source: Alexandria
Functional: GGA-PBE
Structure: relaxed

Unit cell a=4.6160 b=4.6160 c=4.6160 alpha=60.00 beta=60.00 gamma=60.00
Fractional coordinates of all 4 atoms:
Au  0.7500  0.7500  0.7500
Fe  0.5000  0.5000  0.5000
Na  0.0000  0.0000  0.0000
Au  0.2500  0.2500  0.2500

Values from the calculation:
density of states at the Fermi level	2.9	states/eV/f.u.
V	17.39	A^3/atom

---

x | Compound: NaFeAu2
Source: Alexandria
Functional: GGA-PBE
Structure: relaxed

Unit cell a=5.2662 b=5.2662 c=9.3334 alpha=73.61 beta=73.61 gamma=90.00
Fractional coordinates of all 8 atoms:
Au  0.8747  0.1250  0.2500
Au  0.3750  0.1253  0.7500
Au  0.8753  0.6250  0.2500
Au  0.8750  0.1247  0.7500
Fe  0.0000  0.0000  0.0000
Na  0.5000  0.5000  0.0000
Na  0.2500  0.7500  0.5000
Fe  0.7500  0.2500  0.5000

Values from the calculation:
density of states at the Fermi level	2.9	states/eV/f.u.
V	29.67	A^3/atom

---

Quick one: least stable of them? x